(1)
The following is a DFT calculation (PBE) of TbPmNdZr after structural relaxation.

Values from the calculation:
total magnetization: 1.576 Bohr magnetons per cell
energy relative to the elements: 5.743 kcal/mol of atoms
DOS(E_F): 2.20 states/eV/atom

The structure in extended XYZ format:
```
4
Lattice="5.574 0.000 0.000 2.787 4.827 0.000 2.787 1.609 4.551" Properties=species:S:1:pos:R:3 pbc="T T T"
Nd 2.787 1.609 1.138
Zr 8.361 4.827 3.413
Pm 5.574 3.218 2.276
Tb 0.000 0.000 0.000
```

=====

(2)
The following is a DFT calculation (PBE) of CsSrBr3 after structural relaxation.

Values from the calculation:
total magnetization: 0.000 Bohr magnetons per cell
DOS(E_F): 0.00 states/eV/atom
total DFT energy (no corrections): -35.14 eV per cell

The structure in extended XYZ format:
```
10
Lattice="9.876 0.002 -0.004 -0.003 4.569 -0.001 3.432 0.001 9.253" Properties=species:S:1:pos:R:3 pbc="T T T"
Cs 10.198 3.948 7.458
Br 12.553 1.666 9.081
Br 10.478 3.943 3.455
Cs 3.550 1.659 2.830
Br 3.994 3.948 5.806
Sr 5.270 1.665 7.455
Sr 8.492 1.656 2.825
Br 6.545 3.951 9.104
Br 7.860 1.662 5.822
Br 6.501 3.939 2.198
```

=====

(3)
The following is a DFT calculation (PBE) of Ca3SiBi after structural relaxation.

Values from the calculation:
total magnetization: 0.768 Bohr magnetons per cell
offset from the most stable computed form: 3.24 eV/f.u.
DOS(E_F): 0.97 states/eV/atom

The structure in extended XYZ format:
```
5
Lattice="5.871 0.000 0.000 0.000 5.871 0.000 0.000 0.000 5.871" Properties=species:S:1:pos:R:3 pbc="T T T"
Bi 0.000 0.000 0.000
Ca 2.936 0.000 0.000
Si 2.936 2.936 2.936
Ca 0.000 0.000 2.936
Ca 0.000 2.936 0.000
```

=====

(4)
The following is a DFT calculation (PBE) of KCuAs after structural relaxation.

Values from the calculation:
total magnetization: 0.000 Bohr magnetons per cell
energy relative to the elements: -5.730 kcal/mol of atoms
DOS(E_F): 0.85 states/eV/atom

The structure in extended XYZ format:
```
12
Lattice="4.160 0.000 0.000 0.000 7.759 0.000 0.000 0.000 10.347" Properties=species:S:1:pos:R:3 pbc="T T T"
Cu 1.040 3.144 5.244
K 3.120 3.964 8.358
Cu 3.120 4.615 5.103
K 1.040 7.675 3.184
K 3.120 0.084 7.163
As 1.040 1.593 9.700
Cu 1.040 7.024 10.277
K 1.040 3.795 1.989
As 1.040 5.472 5.821
Cu 3.120 0.735 0.071
As 3.120 2.287 4.526
As 3.120 6.166 0.647
```

=====

(5)
The following is a DFT calculation (PBE) of RbZn2Ge2 after structural relaxation.

Values from the calculation:
total magnetization: 0.000 Bohr magnetons per cell
energy relative to the elements: 0.917 kcal/mol of atoms
offset from the most stable computed form: 0.39 eV/f.u.
DOS(E_F): 0.37 states/eV/atom

The structure in extended XYZ format:
```
5
Lattice="-0.787 2.720 -3.456 -2.782 -3.027 -1.748 -6.159 2.214 0.257" Properties=species:S:1:pos:R:3 pbc="T T T"
Rb 0.000 0.000 0.000
Ge -5.363 -0.484 -2.047
Ge -4.365 2.390 -2.901
Zn -2.806 0.399 -1.935
Zn -6.923 1.508 -3.013
```

=====

(6)
The following is a DFT calculation (PBE) of Co2Mo after structural relaxation.

Values from the calculation:
total magnetization: 5.143 Bohr magnetons per cell
energy relative to the elements: 4.161 kcal/mol of atoms
DOS(E_F): 1.06 states/eV/atom

The structure in extended XYZ format:
```
6
Lattice="1.273 -7.049 0.000 1.273 7.049 0.000 0.000 0.000 4.245" Properties=species:S:1:pos:R:3 pbc="T T T"
Co 1.273 -0.632 3.184
Co 1.273 0.632 1.061
Mo 1.273 -4.144 1.061
Co 1.273 -5.581 3.184
Co 1.273 5.581 1.061
Mo 1.273 4.144 3.184
```

=====

(7)
The following is a DFT calculation (PBE) of TbPm4Pr2Sm2 after structural relaxation.

Values from the calculation:
total magnetization: 0.000 Bohr magnetons per cell
energy relative to the elements: 0.196 kcal/mol of atoms
DOS(E_F): 1.30 states/eV/atom

The structure in extended XYZ format:
```
9
Lattice="-2.739 -2.430 0.383 7.253 -4.679 4.472 -4.889 6.390 5.583" Properties=species:S:1:pos:R:3 pbc="T T T"
Pm -2.776 0.689 2.215
Pm 2.402 -1.409 8.224
Pm 0.550 -0.053 3.590
Pr -4.307 3.219 7.314
Pm -0.924 -0.666 6.850
Pr 3.932 -3.939 3.125
Sm 1.143 -3.234 5.345
Tb 0.000 0.000 0.000
Sm -1.518 2.514 5.094
```

=====

(8)
The following is a DFT calculation (PBE) of CaYP2Br after structural relaxation.

Values from the calculation:
total magnetization: 0.379 Bohr magnetons per cell
DOS(E_F): 0.51 states/eV/atom
total DFT energy (no corrections): -20.88 eV per cell

The structure in extended XYZ format:
```
5
Lattice="-0.775 1.386 4.829 1.353 -6.865 2.188 4.936 1.123 0.470" Properties=species:S:1:pos:R:3 pbc="T T T"
Ca 0.677 -3.432 1.094
Y 0.000 0.000 0.000
P -0.388 0.693 2.415
P 2.468 0.561 0.235
Br 2.757 -2.178 3.744
```